# Pa2SiSe, optimized geometry, DFT PBE
# - Formation energy (no corrections): -0.8629 eV/atom
# - ρ: 9866 kg/m³
# - Energy relative to the lowest polymorph listed for this composition: 3 meV/atom
# - Size of the total moment: 0.00 μB per formula unit
# - Calculated volume: 23.95 Å³/atom
data_Pa2SiSe
_symmetry_space_group_name_H-M 'R -3 m'
_symmetry_Int_Tables_number 166
_symmetry_space_group_name_Hall '-R 3 2"'
_cell_length_a 4.1125
_cell_length_b 4.1125
_cell_length_c 19.6197
_cell_angle_alpha 90.00
_cell_angle_beta 90.00
_cell_angle_gamma 120.00
loop_
_atom_site_label
_atom_site_type_symbol
_atom_site_fract_x
_atom_site_fract_y
_atom_site_fract_z
Pa1 Pa 0.0000 0.0000 0.2465
Si1 Si 0.0000 0.0000 0.5000
Se1 Se 0.0000 0.0000 0.0000

=====

# Pa6SiSe5, optimized geometry, DFT PBE
# - Formation energy (no corrections): -1.1043 eV/atom
# - ρ: 10532 kg/m³
# - Size of the total moment: 0.00 μB per formula unit
# - Calculated volume: 23.77 Å³/atom
data_Pa6SiSe5
_symmetry_space_group_name_H-M 'C 1 2/m 1'
_symmetry_Int_Tables_number 12
_symmetry_space_group_name_Hall '-C 2y'
_cell_length_a 7.4035
_cell_length_b 12.0693
_cell_length_c 6.7474
_cell_angle_alpha 90.00
_cell_angle_beta 108.89
_cell_angle_gamma 90.00
loop_
_atom_site_label
_atom_site_type_symbol
_atom_site_fract_x
_atom_site_fract_y
_atom_site_fract_z
Pa1 Pa 0.2437 0.0000 0.2515
Pa2 Pa 0.2453 0.1640 0.7465
Si1 Si 0.0000 0.0000 0.5000
Se1 Se 0.0000 0.1686 0.0000
Se2 Se 0.0000 0.3341 0.5000
Se3 Se 0.0000 0.5000 0.0000

=====

# SrPaSi2Se8, optimized geometry, DFT PBE
# - Formation energy (no corrections): -0.7827 eV/atom
# - ρ: 4945 kg/m³
# - Size of the total moment: 0.00 μB per formula unit
# - Calculated volume: 28.16 Å³/atom
data_SrPaSi2Se8
_symmetry_space_group_name_H-M 'P -3'
_symmetry_Int_Tables_number 147
_symmetry_space_group_name_Hall '-P 3'
_cell_length_a 6.4757
_cell_length_b 6.4757
_cell_length_c 9.3066
_cell_angle_alpha 90.00
_cell_angle_beta 90.00
_cell_angle_gamma 120.00
loop_
_atom_site_label
_atom_site_type_symbol
_atom_site_fract_x
_atom_site_fract_y
_atom_site_fract_z
Sr1 Sr 0.0000 0.0000 0.0000
Pa1 Pa 0.0000 0.0000 0.5000
Si1 Si 0.3333 0.6667 0.7560
Se1 Se 0.0120 0.6694 0.3137
Se2 Se 0.3333 0.6667 0.9984

=====

# SmPa3Se6, optimized geometry, DFT PBE
# - Formation energy (no corrections): -1.3966 eV/atom
# - ρ: 8197 kg/m³
# - Size of the total moment: 5.01 μB per formula unit
# - Calculated volume: 26.69 Å³/atom
data_SmPa3Se6
_symmetry_space_group_name_H-M 'P 1 21/m 1'
_symmetry_Int_Tables_number 11
_symmetry_space_group_name_Hall '-P 2yb'
_cell_length_a 11.6493
_cell_length_b 3.9902
_cell_length_c 12.1179
_cell_angle_alpha 90.00
_cell_angle_beta 108.65
_cell_angle_gamma 90.00
loop_
_atom_site_label
_atom_site_type_symbol
_atom_site_fract_x
_atom_site_fract_y
_atom_site_fract_z
Sm1 Sm 0.0465 0.2500 0.1922
Pa1 Pa 0.1389 0.2500 0.5719
Pa2 Pa 0.3201 0.7500 0.0009
Pa3 Pa 0.4354 0.2500 0.3374
Se1 Se 0.0911 0.7500 0.3904
Se2 Se 0.1197 0.2500 0.9674
Se3 Se 0.1915 0.7500 0.7509
Se4 Se 0.2585 0.7500 0.2204
Se5 Se 0.3832 0.2500 0.5565
Se6 Se 0.4977 0.2500 0.1270